[1]
The following is a DFT calculation (PBE-GGA) of Rb2Hg4Ir after structural relaxation.

Output
Formation energy from the elements in eV per atom: -0.092
Crystal system: tetragonal

a b c (Å): 9.7573 9.7573 9.7573
angles (deg): 147.91 147.91 46.02
Last column: nearest neighbours and their distance in Å.
Sites, in units of the cell vectors:
1 Rb 0.1428 0.1428 0.0000  9 Hg 3.71-3.82
2 Rb 0.8572 0.8572 0.0000  9 Hg 3.71-3.82
3 Hg 0.0000 0.5000 0.5000  2 Ir 2.70
4 Hg 0.3494 0.3494 0.0000  1 Ir 2.70
5 Hg 0.5000 0.0000 0.5000  2 Ir 2.70
6 Hg 0.6506 0.6506 0.0000  1 Ir 2.70
7 Ir 0.5000 0.5000 0.0000  6 Hg 2.70

[2]
The following is a DFT calculation (PBE-GGA) of PuTh2Tl after structural relaxation.

Output
Formation energy from the elements in eV per atom: 0.539
Crystal system: trigonal
Energy above the lowest structure with this stoichiometry in eV per atom: 0.5621

a b c (Å): 8.9653 8.9653 8.9653
angles (deg): 24.20 24.20 24.20
Last column: nearest neighbours and their distance in Å.
Sites, in units of the cell vectors:
1 Pu 0.0000 0.0000 0.0000  6 Th 2.75
2 Th 0.2684 0.2684 0.2684  3 Pu 2.75
3 Th 0.7316 0.7316 0.7316  3 Pu 2.75
4 Tl 0.5000 0.5000 0.5000  6 Th 3.43, 6 Tl 3.76

[3]
The following is a DFT calculation (PBE-GGA) of CdHg2RhAu after structural relaxation.

Output
Formation energy from the elements in eV per atom: 0.423
Crystal system: tetragonal

a b c (Å): 5.2058 5.2058 5.1432
angles (deg): 90.00 90.00 90.00
Last column: nearest neighbours and their distance in Å.
Sites, in units of the cell vectors:
1 Cd 0.0000 0.0000 0.0000  8 Hg 3.66, 4 Au 3.68
2 Hg 0.0000 0.5000 0.5000  2 Rh 2.60
3 Hg 0.5000 0.0000 0.5000  2 Rh 2.60
4 Rh 0.5000 0.5000 0.5000  2 Au 2.57, 4 Hg 2.60
5 Au 0.5000 0.5000 0.0000  2 Rh 2.57

[4]
The following is a DFT calculation (PBE-GGA) of BeSiHg2Au after structural relaxation.

Output
Crystal system: tetragonal
E_form (uncorrected) in eV per atom: 0.54

a b c (Å): 4.7166 4.7166 4.5567
angles (deg): 90.00 90.00 90.00
Last column: nearest neighbours and their distance in Å.
Sites, in units of the cell vectors:
1 Be 0.0000 0.0000 0.0000  2 Au 2.28, 4 Hg 2.36
2 Si 0.5000 0.5000 0.5000  8 Hg 3.28, 4 Au 3.34
3 Hg 0.0000 0.5000 0.0000  2 Be 2.36
4 Hg 0.5000 0.0000 0.0000  2 Be 2.36
5 Au 0.0000 0.0000 0.5000  2 Be 2.28

[5]
The following is a DFT calculation (PBE-GGA) of Li3AcP2 after structural relaxation.

Output
Formation energy from the elements in eV per atom: -0.893
Crystal system: monoclinic
Energy above the lowest structure with this stoichiometry in eV per atom: 0.0000

a b c (Å): 8.1223 8.1223 7.7630
angles (deg): 114.91 114.91 29.70
Last column: nearest neighbours and their distance in Å.
Sites, in units of the cell vectors:
1 Li 0.0639 0.0639 0.4132  3 P 2.42-2.49, 2 Li 2.67
2 Li 0.3073 0.3073 0.5310  3 Li 2.44-2.66, 2 P 2.46-2.55
3 Li 0.4010 0.4010 0.3501  3 Li 2.44-2.67, 3 P 2.45-2.61
4 Li 0.5990 0.5990 0.6499  3 Li 2.44-2.67, 3 P 2.45-2.61
5 Li 0.6927 0.6927 0.4690  3 Li 2.44-2.66, 2 P 2.46-2.55
6 Li 0.9361 0.9361 0.5868  3 P 2.42-2.49, 2 Li 2.67
7 Ac 0.1313 0.1313 0.0420  7 P 3.15-3.42, 2 Li 3.48-3.53
8 Ac 0.8687 0.8687 0.9580  7 P 3.15-3.42, 2 Li 3.48-3.53
9 P 0.2099 0.2099 0.7216  4 Li 2.49-2.61
10 P 0.4754 0.4754 0.7624  4 Li 2.42-2.46
11 P 0.5246 0.5246 0.2376  4 Li 2.42-2.46
12 P 0.7901 0.7901 0.2784  4 Li 2.49-2.61

[6]
The following is a DFT calculation (PBE-GGA) of Ac5CeGe5 after structural relaxation.

Output
Formation energy from the elements in eV per atom: -0.541
Crystal system: monoclinic

a b c (Å): 7.8677 7.8677 8.9183
angles (deg): 106.90 106.90 47.83
Last column: nearest neighbours and their distance in Å.
Sites, in units of the cell vectors:
1 Ac 0.0000 0.0000 0.0000  4 Ge 3.13-3.16
2 Ac 0.3249 0.3249 0.1718  5 Ge 3.20-3.29
3 Ac 0.3323 0.3323 0.6631  5 Ge 3.19-3.25
4 Ac 0.6677 0.6677 0.3369  5 Ge 3.19-3.25
5 Ac 0.6751 0.6751 0.8282  5 Ge 3.20-3.29
6 Ce 0.0000 0.0000 0.5000  6 Ge 3.00-3.19
7 Ge 0.1541 0.1541 0.3395  1 Ce 3.00, 5 Ac 3.13-3.26
8 Ge 0.1573 0.1573 0.8209  1 Ce 3.03, 5 Ac 3.16-3.29
9 Ge 0.5000 0.5000 0.5000  4 Ac 3.19-3.20, 2 Ce 3.19
10 Ge 0.8427 0.8427 0.1791  1 Ce 3.03, 5 Ac 3.16-3.29
11 Ge 0.8459 0.8459 0.6605  1 Ce 3.00, 5 Ac 3.13-3.26

[7]
The following is a DFT calculation (PBE-GGA) of CuBSe2 after structural relaxation.

Output
Crystal system: triclinic
E_form (uncorrected) in eV per atom: -0.08

a b c (Å): 4.1154 6.2777 6.2797
angles (deg): 71.52 85.64 85.90
Last column: nearest neighbours and their distance in Å.
Sites, in units of the cell vectors:
1 Cu 0.0000 0.0000 0.0000  4 Se 2.40-2.56
2 Cu 0.0009 0.5002 0.4999  4 Se 2.40-2.55
3 B 0.3299 0.9620 0.4606  1 B 1.68
4 B 0.6727 0.0386 0.5383  1 B 1.68
5 Se 0.0000 0.7806 0.7181  2 B 2.12
6 Se 0.0025 0.2201 0.2809  2 B 2.11-2.12
7 Se 0.3749 0.7581 0.2555  1 B 2.07
8 Se 0.6267 0.2424 0.7435  1 B 2.08

[8]
The following is a DFT calculation (PBE-GGA) of CaTe2Ru after structural relaxation.

Output
Crystal system: orthorhombic
E_form (uncorrected) in eV per atom: -0.40
Energy above the lowest structure with this stoichiometry in eV per atom: 0.3156

a b c (Å): 7.2536 7.2536 7.2536
angles (deg): 150.91 147.88 43.88
Last column: nearest neighbours and their distance in Å.
Sites, in units of the cell vectors:
1 Ca 0.0000 0.0000 0.0000  6 Te 3.10
2 Te 0.3882 0.3882 0.0000  2 Ru 2.67
3 Te 0.6760 0.1760 0.5000  4 Ru 2.86, 2 Ca 3.10
4 Ru 0.2430 0.7430 0.5000  6 Te 2.67-2.86

[9]
The following is a DFT calculation (PBE-GGA) of Er3Sc2In3 after structural relaxation.

Output
Formation energy from the elements in eV per atom: -0.341
Crystal system: orthorhombic

a b c (Å): 10.4052 10.4052 10.4052
angles (deg): 155.95 153.48 36.10
Last column: nearest neighbours and their distance in Å.
Sites, in units of the cell vectors:
1 Er 0.0000 0.0000 0.0000  8 In 3.22-3.42, 4 Er 3.41
2 Er 0.3772 0.8772 0.5000  6 In 3.23-3.26, 4 Sc 3.36-3.44, 2 Er 3.41
3 Er 0.6228 0.1228 0.5000  6 In 3.23-3.26, 4 Sc 3.36-3.44, 2 Er 3.41
4 Sc 0.2422 0.2422 0.0000  2 In 3.05, 4 Sc 3.24, 2 Er 3.36
5 Sc 0.7578 0.7578 0.0000  2 In 3.05, 4 Sc 3.24, 2 Er 3.36
6 In 0.1334 0.6334 0.5000  2 Sc 3.05, 6 Er 3.23-3.42
7 In 0.5000 0.5000 0.0000  8 Er 3.22-3.26, 4 In 3.56
8 In 0.8666 0.3666 0.5000  2 Sc 3.05, 6 Er 3.23-3.42

Ordered final energy results: -12.65, -29.38, -10.03, -10.31, -52.06, -55.52, -36.16, -19.14, -37.29; unit eV for the cell shown.
Ordered DOS(E_F) results: 2.46, 4.22, 4.59, 2.09, 0.07, 13.37, 0.36, 1.49, 9.25; unit states/eV/f.u..